! SrLiGa3, relaxed, DFT PBE; values from VASP
&SYSTEM
  ibrav = 0, nat = 20, ntyp = 3
/
ATOMIC_SPECIES
Sr 87.62 Sr.upf
Li 6.94 Li.upf
Ga 69.72 Ga.upf
CELL_PARAMETERS angstrom
6.191 0.000 0.000
0.000 11.387 0.000
0.000 0.000 6.207
ATOMIC_POSITIONS crystal
Sr 0.000 0.000 0.000
Sr 0.000 0.500 0.000
Sr 0.500 0.000 0.500
Sr 0.500 0.500 0.500
Li 0.250 0.250 0.250
Li 0.250 0.750 0.750
Li 0.750 0.250 0.250
Li 0.750 0.750 0.750
Ga 0.000 0.118 0.491
Ga 0.000 0.382 0.491
Ga 0.000 0.618 0.509
Ga 0.000 0.882 0.509
Ga 0.249 0.250 0.751
Ga 0.251 0.750 0.251
Ga 0.500 0.118 0.009
Ga 0.500 0.382 0.009
Ga 0.500 0.618 0.991
Ga 0.500 0.882 0.991
Ga 0.749 0.250 0.749
Ga 0.751 0.750 0.249
! **Space group**: Pnma
! **Volume**: 437.5 Å³/cell
! **E above lowest polymorph**: 0.000 eV/atom
! **Calculated total energy**: -2.896 eV/atom
! **Formation enthalpy at 0 K**: -0.360 eV/atom